No. 1
A relaxed structure of TcOsPt2. Source: the Alexandria database, functional PBEsol.

Output
Calculated formation energy   0.0432 eV per atom
Energy above the most stable polymorph in this dataset   131.4 meV per atom
Volume   14.36 Å³/atom
Electronic total energy   -37.24 eV per cell

```
data_TcOsPt2
_chemical_formula_sum 'Tc1 Os1 Pt2'
_cell_length_a 4.715
_cell_length_b 2.725
_cell_length_c 4.738
_cell_angle_alpha 90.00
_cell_angle_beta 109.33
_cell_angle_gamma 90.00
_space_group_name_H-M_alt 'P 1'
_space_group_IT_number 1
loop_
_space_group_symop_operation_xyz
'x,y,z'
loop_
_atom_site_label
_atom_site_fract_x
_atom_site_fract_y
_atom_site_fract_z
_atom_site_occupancy
Tc1 0.000 0.000 0.000 1
Os1 0.500 0.500 0.000 1
Pt1 0.000 0.500 0.500 1
Pt2 0.500 0.000 0.500 1
```

=====

No. 2
A relaxed structure of TcOsPt2. Source: the Alexandria database, functional PBEsol.

Output
Calculated formation energy   0.4915 eV per atom
Energy above the most stable polymorph in this dataset   579.8 meV per atom
Volume   14.74 Å³/atom
Electronic total energy   -35.44 eV per cell

```
data_TcOsPt2
_chemical_formula_sum 'Tc1 Os1 Pt2'
_cell_length_a 4.369
_cell_length_b 4.369
_cell_length_c 4.369
_cell_angle_alpha 60.00
_cell_angle_beta 60.00
_cell_angle_gamma 60.00
_space_group_name_H-M_alt 'P 1'
_space_group_IT_number 1
loop_
_space_group_symop_operation_xyz
'x,y,z'
loop_
_atom_site_label
_atom_site_fract_x
_atom_site_fract_y
_atom_site_fract_z
_atom_site_occupancy
Tc1 0.000 0.000 0.000 1
Os1 0.500 0.500 0.500 1
Pt1 0.250 0.250 0.250 1
Pt2 0.750 0.750 0.750 1
```

=====

No. 3
A relaxed structure of TcOsPt. Source: the Alexandria database, functional PBEsol.

Output
Calculated formation energy   -0.0592 eV per atom
Volume   14.31 Å³/atom
Electronic total energy   -30.62 eV per cell

```
data_TcOsPt
_chemical_formula_sum 'Tc1 Os1 Pt1'
_cell_length_a 6.096
_cell_length_b 6.096
_cell_length_c 6.096
_cell_angle_alpha 154.17
_cell_angle_beta 154.17
_cell_angle_gamma 36.85
_space_group_name_H-M_alt 'P 1'
_space_group_IT_number 1
loop_
_space_group_symop_operation_xyz
'x,y,z'
loop_
_atom_site_label
_atom_site_fract_x
_atom_site_fract_y
_atom_site_fract_z
_atom_site_occupancy
Tc1 0.000 0.000 0.000 1
Os1 0.350 0.350 0.000 1
Pt1 0.673 0.673 0.000 1
```

=====

No. 4
A relaxed structure of Tc2OsPt. Source: the Alexandria database, functional PBEsol.

Output
Calculated formation energy   -0.1568 eV per atom
Energy above the most stable polymorph in this dataset   0.0 meV per atom
Volume   14.06 Å³/atom
Electronic total energy   -42.34 eV per cell

```
data_Tc2OsPt
_chemical_formula_sum 'Tc2 Os1 Pt1'
_cell_length_a 2.721
_cell_length_b 4.344
_cell_length_c 4.759
_cell_angle_alpha 90.00
_cell_angle_beta 90.00
_cell_angle_gamma 90.00
_space_group_name_H-M_alt 'P 1'
_space_group_IT_number 1
loop_
_space_group_symop_operation_xyz
'x,y,z'
loop_
_atom_site_label
_atom_site_fract_x
_atom_site_fract_y
_atom_site_fract_z
_atom_site_occupancy
Tc1 0.000 0.000 0.000 1
Tc2 0.000 0.500 0.323 1
Os1 0.500 0.500 0.833 1
Pt1 0.500 0.000 0.495 1
```